Arrangement P

A relaxed LaAl2Hg2 crystal. Source: Alexandria, functional PBE.

Lattice parameters (Å, degrees): 4.4528 4.4528 11.7219 90.00 90.00 90.00
Last column: nearest neighbours and their distance in Å.
Element x y z (fractional)
La 0.0000 0.0000 0.0000  8 Hg 3.45, 8 Al 3.68
La 0.5000 0.5000 0.5000  8 Hg 3.45, 8 Al 3.68
Al 0.0000 0.5000 0.2500  4 Hg 2.70
Al 0.0000 0.5000 0.7500  4 Hg 2.70
Al 0.5000 0.0000 0.2500  4 Hg 2.70
Al 0.5000 0.0000 0.7500  4 Hg 2.70
Hg 0.0000 0.0000 0.3804  4 Al 2.70, 1 Hg 2.80
Hg 0.0000 0.0000 0.6196  4 Al 2.70, 1 Hg 2.80
Hg 0.5000 0.5000 0.1196  4 Al 2.70, 1 Hg 2.80
Hg 0.5000 0.5000 0.8804  4 Al 2.70, 1 Hg 2.80

Values from the calculation:
Magnetic moment (μB per cell): 0.00

Arrangement Q

A relaxed LaAl2Hg2 crystal. Source: Alexandria, functional PBE.

Lattice parameters (Å, degrees): 8.4607 8.4607 3.2557 90.00 90.00 90.00
Last column: nearest neighbours and their distance in Å.
Element x y z (fractional)
La 0.0000 0.0000 0.0000  2 La 3.26, 4 Hg 3.31, 8 Al 3.55
La 0.5000 0.5000 0.0000  2 La 3.26, 4 Hg 3.31, 8 Al 3.55
Al 0.1676 0.3324 0.5000  6 Hg 2.91-3.02, 2 Al 3.26
Al 0.3324 0.8324 0.5000  6 Hg 2.91-3.02, 2 Al 3.26
Al 0.6676 0.1676 0.5000  6 Hg 2.91-3.02, 2 Al 3.26
Al 0.8324 0.6676 0.5000  6 Hg 2.91-3.02, 2 Al 3.26
Hg 0.1311 0.6311 0.0000  6 Al 2.91-3.02, 3 Hg 3.14-3.26
Hg 0.3689 0.1311 0.0000  6 Al 2.91-3.02, 3 Hg 3.14-3.26
Hg 0.6311 0.8689 0.0000  6 Al 2.91-3.02, 3 Hg 3.14-3.26
Hg 0.8689 0.3689 0.0000  6 Al 2.91-3.02, 3 Hg 3.14-3.26

Values from the calculation:
Magnetic moment (μB per cell): 0.17

Arrangement R

A relaxed LaAl2Hg2 crystal. Source: Alexandria, functional PBE.

Lattice parameters (Å, degrees): 4.5456 4.5456 11.1244 90.00 90.00 90.00
Last column: nearest neighbours and their distance in Å.
Element x y z (fractional)
La 0.2500 0.2500 0.2497  8 Al 3.46-3.59, 8 Hg 3.47-3.59
La 0.7500 0.7500 0.7503  8 Al 3.46-3.59, 8 Hg 3.47-3.59
Al 0.2500 0.2500 0.6352  5 Hg 2.58-2.73
Al 0.2500 0.7500 0.0000  4 Hg 2.71
Al 0.7500 0.2500 0.0000  4 Hg 2.71
Al 0.7500 0.7500 0.3648  5 Hg 2.58-2.73
Hg 0.2500 0.2500 0.8668  5 Al 2.58-2.71
Hg 0.2500 0.7500 0.5000  4 Al 2.73
Hg 0.7500 0.2500 0.5000  4 Al 2.73
Hg 0.7500 0.7500 0.1332  5 Al 2.58-2.71

Values from the calculation:
Magnetic moment (μB per cell): 0.00

Most stable = arrangement R

Arrangement P

A relaxed La6AlHg2 crystal. Source: Alexandria, functional PBE.

Lattice parameters (Å, degrees): 9.2737 9.2737 3.7614 90.00 90.00 120.00
Last column: nearest neighbours and their distance in Å.
Element x y z (fractional)
La 0.0000 0.3874 0.0000  4 Hg 3.43, 1 Al 3.59, 8 La 3.63-3.76
La 0.0000 0.7220 0.5000  2 Al 3.19, 2 Hg 3.38
La 0.2780 0.2780 0.5000  2 Al 3.19, 2 Hg 3.38
La 0.3874 0.0000 0.0000  4 Hg 3.43, 1 Al 3.59, 8 La 3.63-3.76
La 0.6126 0.6126 0.0000  4 Hg 3.43, 1 Al 3.59, 8 La 3.63-3.76
La 0.7220 0.0000 0.5000  2 Al 3.19, 2 Hg 3.38
Al 0.0000 0.0000 0.0000  6 La 3.19
Hg 0.3333 0.6667 0.5000  9 La 3.38-3.43, 2 Hg 3.76
Hg 0.6667 0.3333 0.5000  9 La 3.38-3.43, 2 Hg 3.76

Values from the calculation:
Magnetic moment (μB per cell): 0.00

Arrangement Q

A relaxed La6AlHg2 crystal. Source: Alexandria, functional PBE.

Lattice parameters (Å, degrees): 9.1317 9.1317 9.1317 109.78 109.38 109.26
Last column: nearest neighbours and their distance in Å.
Element x y z (fractional)
La 0.0548 0.8091 0.2456  2 Hg 3.19-3.45, 2 Al 3.29-3.36, 2 La 3.53
La 0.1706 0.2654 0.4360  3 Hg 3.17-3.42, 1 Al 3.32, 2 La 3.53
La 0.1706 0.7346 0.9052  3 Hg 3.17-3.42, 1 Al 3.32, 2 La 3.53
La 0.3235 0.0913 0.7678  1 Al 3.38, 3 Hg 3.38-3.41, 1 La 3.73
La 0.3235 0.5557 0.2322  1 Al 3.38, 3 Hg 3.38-3.41, 1 La 3.73
La 0.4365 0.1909 0.2456  2 Hg 3.19-3.45, 2 Al 3.29-3.36, 2 La 3.53
La 0.5635 0.8091 0.7544  2 Hg 3.19-3.45, 2 Al 3.29-3.36, 2 La 3.53
La 0.6765 0.4443 0.7678  1 Al 3.38, 3 Hg 3.38-3.41, 1 La 3.73
La 0.6765 0.9087 0.2322  1 Al 3.38, 3 Hg 3.38-3.41, 1 La 3.73
La 0.8294 0.2654 0.0948  3 Hg 3.17-3.42, 1 Al 3.32, 2 La 3.53
La 0.8294 0.7346 0.5640  3 Hg 3.17-3.42, 1 Al 3.32, 2 La 3.53
La 0.9452 0.1909 0.7544  2 Hg 3.19-3.45, 2 Al 3.29-3.36, 2 La 3.53
Al 0.0000 0.0000 0.0000  8 La 3.29-3.32
Al 0.5000 0.0000 0.5000  8 La 3.36-3.38, 2 Hg 3.75
Hg 0.1457 0.6457 0.5000  1 Hg 3.08, 8 La 3.19-3.42
Hg 0.3590 0.5000 0.8590  1 Hg 2.98, 2 La 3.17
Hg 0.6410 0.5000 0.1410  1 Hg 2.98, 2 La 3.17
Hg 0.8543 0.3543 0.5000  1 Hg 3.08, 8 La 3.19-3.42

Values from the calculation:
Magnetic moment (μB per cell): 0.00

Most stable = arrangement P

Arrangement P

A relaxed La8AlHg2 crystal. Source: Alexandria, functional PBE.

Lattice parameters (Å, degrees): 8.8339 8.8339 5.6925 100.72 100.72 118.72
Last column: nearest neighbours and their distance in Å.
Element x y z (fractional)
La 0.0866 0.2966 0.5822  2 La 3.19-3.23, 2 Hg 3.26-3.49, 1 Al 3.51
La 0.2217 0.7783 0.0000  2 Hg 3.14, 1 Al 3.37
La 0.2966 0.0866 0.5822  2 La 3.19-3.23, 2 Hg 3.26-3.49, 1 Al 3.51
La 0.3919 0.3919 0.1911  1 Al 3.29, 4 La 3.34-3.64, 2 Hg 3.36
La 0.6081 0.6081 0.8089  1 Al 3.29, 4 La 3.34-3.64, 2 Hg 3.36
La 0.7034 0.9134 0.4178  2 La 3.19-3.23, 2 Hg 3.26-3.49, 1 Al 3.51
La 0.7783 0.2217 0.0000  2 Hg 3.14, 1 Al 3.37
La 0.9134 0.7034 0.4178  2 La 3.19-3.23, 2 Hg 3.26-3.49, 1 Al 3.51
Al 0.0000 0.0000 0.0000  8 La 3.29-3.51
Hg 0.3083 0.6917 0.5000  8 La 3.14-3.49
Hg 0.6917 0.3083 0.5000  8 La 3.14-3.49

Values from the calculation:
Magnetic moment (μB per cell): 0.00

Arrangement Q

A relaxed La8AlHg2 crystal. Source: Alexandria, functional PBE.

Lattice parameters (Å, degrees): 9.2081 9.2081 9.2081 147.13 122.51 67.83
Last column: nearest neighbours and their distance in Å.
Element x y z (fractional)
La 0.1196 0.3469 0.7727  3 Hg 3.31-3.36, 1 Al 3.36, 4 La 3.54-3.56
La 0.1355 0.1355 0.0000  2 Al 3.33, 6 La 3.56, 2 Hg 3.64
La 0.3270 0.0000 0.3270  1 La 3.06, 2 Hg 3.40
La 0.4259 0.6531 0.7727  3 Hg 3.31-3.36, 1 Al 3.36, 4 La 3.54-3.56
La 0.5741 0.3469 0.2273  3 Hg 3.31-3.36, 1 Al 3.36, 4 La 3.54-3.56
La 0.6730 0.0000 0.6730  1 La 3.06, 2 Hg 3.40
La 0.8645 0.8645 0.0000  2 Al 3.33, 6 La 3.56, 2 Hg 3.64
La 0.8804 0.6531 0.2273  3 Hg 3.31-3.36, 1 Al 3.36, 4 La 3.54-3.56
Al 0.0000 0.5000 0.5000  8 La 3.33-3.36
Hg 0.3016 0.8016 0.5000  10 La 3.31-3.64
Hg 0.6984 0.1984 0.5000  10 La 3.31-3.64

Values from the calculation:
Magnetic moment (μB per cell): 0.00

Most stable = arrangement Q

Arrangement P

A relaxed LaMgAlHg2 crystal. Source: Alexandria, functional PBE.

Lattice parameters (Å, degrees): 4.4923 4.4923 12.0667 90.00 90.00 90.00
Last column: nearest neighbours and their distance in Å.
Element x y z (fractional)
La 0.0000 0.0000 0.0000  8 Hg 3.48, 4 Mg 3.76, 4 Al 3.76
La 0.5000 0.5000 0.5000  8 Hg 3.48, 4 Mg 3.76, 4 Al 3.76
Mg 0.0000 0.5000 0.2500  4 Hg 2.76
Mg 0.5000 0.0000 0.7500  4 Hg 2.76
Al 0.0000 0.5000 0.7500  4 Hg 2.76
Al 0.5000 0.0000 0.2500  4 Hg 2.76
Hg 0.0000 0.0000 0.3827  2 Mg 2.76, 2 Al 2.76, 1 Hg 2.83
Hg 0.0000 0.0000 0.6173  2 Mg 2.76, 2 Al 2.76, 1 Hg 2.83
Hg 0.5000 0.5000 0.1173  2 Mg 2.76, 2 Al 2.76, 1 Hg 2.83
Hg 0.5000 0.5000 0.8827  2 Mg 2.76, 2 Al 2.76, 1 Hg 2.83

Values from the calculation:
Magnetic moment (μB per cell): 0.00

Arrangement Q

A relaxed LaMgAlHg2 crystal. Source: Alexandria, functional PBE.

Lattice parameters (Å, degrees): 5.9183 5.9183 6.3433 90.00 90.00 90.00
Last column: nearest neighbours and their distance in Å.
Element x y z (fractional)
La 0.0000 0.0000 0.0000  4 Hg 2.96, 2 Mg 3.17
Mg 0.0000 0.0000 0.5000  2 La 3.17
Al 0.5000 0.5000 0.5000  4 Mg 4.18, 8 Hg 4.34
Hg 0.0000 0.5000 0.0000  2 La 2.96
Hg 0.5000 0.0000 0.0000  2 La 2.96

Values from the calculation:
Magnetic moment (μB per cell): 0.59

Most stable = arrangement P

Arrangement P

A relaxed LaNdAlHg crystal. Source: Alexandria, functional PBE.

Lattice parameters (Å, degrees): 3.6956 3.6956 8.1286 90.00 90.00 90.00
Last column: nearest neighbours and their distance in Å.
Element x y z (fractional)
La 0.0000 0.0000 0.0000  4 Al 3.27, 4 Hg 3.44
Nd 0.0000 0.0000 0.4758  4 Al 3.23, 4 Hg 3.30
Al 0.5000 0.5000 0.2426  4 Nd 3.23, 4 La 3.27
Hg 0.5000 0.5000 0.7245  4 Nd 3.30, 4 La 3.44, 4 Hg 3.70

Values from the calculation:
Magnetic moment (μB per cell): 0.00

Arrangement Q

A relaxed LaNdAlHg crystal. Source: Alexandria, functional PBE.

Lattice parameters (Å, degrees): 7.6814 7.6814 7.6814 90.00 90.00 90.00
Last column: nearest neighbours and their distance in Å.
Element x y z (fractional)
La 0.0000 0.0000 0.0000  4 Al 3.33, 4 Hg 3.33
La 0.0000 0.5000 0.5000  4 Al 3.33, 4 Hg 3.33
La 0.5000 0.0000 0.5000  4 Al 3.33, 4 Hg 3.33
La 0.5000 0.5000 0.0000  4 Al 3.33, 4 Hg 3.33
Nd 0.0000 0.0000 0.5000  4 Hg 3.33, 4 Al 3.33
Nd 0.0000 0.5000 0.0000  4 Hg 3.33, 4 Al 3.33
Nd 0.5000 0.0000 0.0000  4 Hg 3.33, 4 Al 3.33
Nd 0.5000 0.5000 0.5000  4 Hg 3.33, 4 Al 3.33
Al 0.2500 0.2500 0.2500  4 Nd 3.33, 4 La 3.33
Al 0.2500 0.7500 0.7500  4 Nd 3.33, 4 La 3.33
Al 0.7500 0.2500 0.7500  4 Nd 3.33, 4 La 3.33
Al 0.7500 0.7500 0.2500  4 Nd 3.33, 4 La 3.33
Hg 0.2500 0.2500 0.7500  4 La 3.33, 4 Nd 3.33
Hg 0.2500 0.7500 0.2500  4 La 3.33, 4 Nd 3.33
Hg 0.7500 0.2500 0.2500  4 La 3.33, 4 Nd 3.33
Hg 0.7500 0.7500 0.7500  4 La 3.33, 4 Nd 3.33

Values from the calculation:
Magnetic moment (μB per cell): 0.01

Most stable = arrangement P

Arrangement P

A relaxed LaPmAlHg crystal. Source: Alexandria, functional PBE.

Lattice parameters (Å, degrees): 7.6581 7.6581 7.6581 90.00 90.00 90.00
Last column: nearest neighbours and their distance in Å.
Element x y z (fractional)
La 0.0000 0.0000 0.0000  4 Hg 3.32, 4 Al 3.32
La 0.0000 0.5000 0.5000  4 Hg 3.32, 4 Al 3.32
La 0.5000 0.0000 0.5000  4 Hg 3.32, 4 Al 3.32
La 0.5000 0.5000 0.0000  4 Hg 3.32, 4 Al 3.32
Pm 0.0000 0.0000 0.5000  4 Al 3.32, 4 Hg 3.32
Pm 0.0000 0.5000 0.0000  4 Al 3.32, 4 Hg 3.32
Pm 0.5000 0.0000 0.0000  4 Al 3.32, 4 Hg 3.32
Pm 0.5000 0.5000 0.5000  4 Al 3.32, 4 Hg 3.32
Al 0.2500 0.2500 0.7500  4 La 3.32, 4 Pm 3.32
Al 0.2500 0.7500 0.2500  4 La 3.32, 4 Pm 3.32
Al 0.7500 0.2500 0.2500  4 La 3.32, 4 Pm 3.32
Al 0.7500 0.7500 0.7500  4 La 3.32, 4 Pm 3.32
Hg 0.2500 0.2500 0.2500  4 Pm 3.32, 4 La 3.32
Hg 0.2500 0.7500 0.7500  4 La 3.32, 4 Pm 3.32
Hg 0.7500 0.2500 0.7500  4 La 3.32, 4 Pm 3.32
Hg 0.7500 0.7500 0.2500  4 La 3.32, 4 Pm 3.32

Values from the calculation:
Magnetic moment (μB per cell): 0.00

Arrangement Q

A relaxed LaPmAlHg crystal. Source: Alexandria, functional PBE.

Lattice parameters (Å, degrees): 3.6790 3.6790 8.1131 90.00 90.00 90.00
Last column: nearest neighbours and their distance in Å.
Element x y z (fractional)
La 0.0000 0.0000 0.0000  4 Al 3.27, 4 Hg 3.45
Pm 0.0000 0.0000 0.4756  4 Al 3.21, 4 Hg 3.27
Al 0.5000 0.5000 0.2443  4 Pm 3.21, 4 La 3.27
Hg 0.5000 0.5000 0.7208  4 Pm 3.27, 4 La 3.45

Values from the calculation:
Magnetic moment (μB per cell): 0.00

Most stable = arrangement Q